[1]
# Pm3Ni2Sn, optimized geometry, DFT PBE-GGA
# - Formation energy: -1.797 eV/f.u.
# - Total DFT energy (no corrections): -5.269 eV per atom
# - Total moment: 0.00 Bohr magnetons per cell
data_Pm3Ni2Sn
_chemical_formula_sum 'Pm6 Ni4 Sn2'
_space_group_name_H-M_alt 'P 1'
_space_group_IT_number 1
_space_group_name_Hall 'P 1'
_cell_length_a 7.002
_cell_length_b 7.002
_cell_length_c 7.002
_cell_angle_alpha 73.87
_cell_angle_beta 73.87
_cell_angle_gamma 73.87
loop_
_atom_site_label
_atom_site_type_symbol
_atom_site_fract_x
_atom_site_fract_y
_atom_site_fract_z
Ni1 Ni 0.829 0.829 0.829
Ni2 Ni 0.671 0.671 0.671
Ni3 Ni 0.171 0.171 0.171
Ni4 Ni 0.329 0.329 0.329
Sn1 Sn 0.000 0.000 0.000
Sn2 Sn 0.500 0.500 0.500
Pm1 Pm 0.750 0.443 0.057
Pm2 Pm 0.557 0.943 0.250
Pm3 Pm 0.443 0.057 0.750
Pm4 Pm 0.057 0.750 0.443
Pm5 Pm 0.943 0.250 0.557
Pm6 Pm 0.250 0.557 0.943

[2]
# Pm3Ni4Sn4, optimized geometry, DFT PBE-GGA
# - Relative energy among the computed polymorphs: 0 meV per atom
# - Formation energy: -5.766 eV/f.u.
# - Total DFT energy (no corrections): -5.378 eV per atom
# - Total moment: 0.00 Bohr magnetons per cell
data_Pm3Ni4Sn4
_chemical_formula_sum 'Pm3 Ni4 Sn4'
_space_group_name_H-M_alt 'P 1'
_space_group_IT_number 1
_space_group_name_Hall 'P 1'
_cell_length_a 13.138
_cell_length_b 13.138
_cell_length_c 4.126
_cell_angle_alpha 80.98
_cell_angle_beta 80.98
_cell_angle_gamma 19.92
loop_
_atom_site_label
_atom_site_type_symbol
_atom_site_fract_x
_atom_site_fract_y
_atom_site_fract_z
Sn1 Sn 0.803 0.803 0.196
Sn2 Sn 0.444 0.444 0.056
Sn3 Sn 0.556 0.556 0.944
Sn4 Sn 0.197 0.197 0.804
Pm1 Pm 0.000 0.000 0.500
Pm2 Pm 0.345 0.345 0.655
Pm3 Pm 0.655 0.655 0.345
Ni1 Ni 0.903 0.903 0.097
Ni2 Ni 0.097 0.097 0.903
Ni3 Ni 0.746 0.746 0.754
Ni4 Ni 0.254 0.254 0.246